DFT (PBE-GGA) results for crystalline KLiAs4 at its relaxed geometry.

Unit cell a=8.127 b=8.127 c=8.127 alpha=90.00 beta=90.00 gamma=90.00
Space group F-43m (No. 216)
Asymmetric unit:
K1 0.000 0.000 0.000 x4
Li1 0.250 0.250 0.750 x4
As1 0.123 0.123 0.377 x16

Output
energy of formation: -171 meV/atom
E_tot: -3.77 eV per atom